{"formula": "Nd6BiAs2Se3", "functional": "PBE", "state": "relaxed", "lattice": [[-1.3165, -2.4101, 3.3213], [1.5951, -7.1685, -4.5695], [8.8263, 2.7769, 2.7176]], "species": ["Nd", "Nd", "Nd", "Nd", "Nd", "Nd", "Bi", "As", "As", "Se", "Se", "Se"], "frac_coords": [[0.3270, 0.9018, 0.6540], [0.6701, 0.5778, 0.3402], [0.6730, 0.0982, 0.3460], [0.0048, 0.2662, 0.0096], [0.9952, 0.7338, 0.9904], [0.3299, 0.4222, 0.6598], [0.5000, 0.0000, 0.0000], [0.8324, 0.6650, 0.6647], [0.1676, 0.3350, 0.3353], [0.5000, 0.5000, 0.0000], [0.8363, 0.1668, 0.6726], [0.1637, 0.8332, 0.3274]], "sg": "C2/m (12)", "raw_formation_energy_ev_per_atom": -1.600}

{"formula": "NdSmBiAs", "functional": "PBE", "state": "relaxed", "lattice": [[-3.8400, -2.0432, 0.5231], [-0.3588, -3.2869, 2.8744], [-3.2234, 2.9873, 6.3524]], "species": ["Nd", "Sm", "Bi", "As"], "frac_coords": [[0.2575, 0.2575, 0.2276], [0.7426, 0.7426, 0.7723], [0.4989, 0.4989, 0.5033], [0.0011, 0.0011, 0.9967]], "sg": "R3m (160)", "formation_energy_ev_per_atom": -1.21}

{"formula": "Nd6BiTe2As3", "functional": "PBE", "state": "relaxed", "lattice": [[-3.3523, -1.4729, -2.3869], [4.5337, -7.4354, -1.7792], [-3.2076, -1.2584, 9.2835]], "species": ["Nd", "Nd", "Nd", "Nd", "Nd", "Nd", "Bi", "Te", "Te", "As", "As", "As"], "frac_coords": [[0.3281, 0.9317, 0.6562], [0.6601, 0.5994, 0.3202], [0.6719, 0.0683, 0.3438], [0.9946, 0.2624, 0.9893], [0.0054, 0.7376, 0.0107], [0.3399, 0.4006, 0.6798], [0.5000, 0.0000, 0.0000], [0.8324, 0.6645, 0.6647], [0.1676, 0.3355, 0.3353], [0.5000, 0.5000, 0.0000], [0.8330, 0.1669, 0.6659], [0.1670, 0.8331, 0.3341]], "sg": "C2/m (12)", "raw_formation_energy_ev_per_atom": -1.437}

{"formula": "Nd4BiTe2As", "functional": "PBE", "state": "relaxed", "lattice": [[-1.3480, -2.6664, -3.2973], [-2.5911, -5.1439, 5.2189], [-7.4186, 1.6175, 1.7247]], "species": ["Nd", "Nd", "Nd", "Nd", "Bi", "Te", "Te", "As"], "frac_coords": [[0.0000, 0.7373, 0.7378], [0.0000, 0.2627, 0.2622], [0.5000, 0.7278, 0.2719], [0.5000, 0.2722, 0.7281], [0.5000, 0.5000, 0.0000], [0.0000, 0.0000, 0.0000], [0.5000, 0.0000, 0.5000], [0.0000, 0.5000, 0.5000]], "sg": "P2/m (10)", "raw_formation_energy_ev_per_atom": -1.356}

{"formula": "Nd4Bi2TeAs", "functional": "PBE", "state": "relaxed", "lattice": [[-3.8599, 1.0473, -2.0401], [-3.6193, 0.1234, 6.9112], [2.7652, 7.1075, -1.5834]], "species": ["Nd", "Nd", "Nd", "Nd", "Bi", "Bi", "Te", "As"], "frac_coords": [[0.5000, 0.2339, 0.2346], [0.5000, 0.7661, 0.7654], [0.0000, 0.2403, 0.7577], [0.0000, 0.7597, 0.2423], [0.5000, 0.0000, 0.5000], [0.0000, 0.5000, 0.5000], [0.5000, 0.5000, 0.0000], [0.0000, 0.0000, 0.0000]], "sg": "P2/m (10)", "raw_formation_energy_ev_per_atom": -1.217}

{"formula": "Nd6Bi2Te3As", "functional": "PBE", "state": "relaxed", "lattice": [[-2.3622, -2.8054, -2.5742], [-2.1521, -4.8895, 7.3035], [-6.1003, 8.0196, 0.7578]], "species": ["Nd", "Nd", "Nd", "Nd", "Nd", "Nd", "Bi", "Bi", "Te", "Te", "Te", "As"], "frac_coords": [[0.3458, 0.9225, 0.6917], [0.6650, 0.5828, 0.3300], [0.6542, 0.0775, 0.3083], [0.9989, 0.2243, 0.9978], [0.0011, 0.7757, 0.0022], [0.3350, 0.4172, 0.6700], [0.8332, 0.6662, 0.6665], [0.1668, 0.3338, 0.3335], [0.5000, 0.5000, 0.0000], [0.8295, 0.1634, 0.6590], [0.1705, 0.8366, 0.3410], [0.5000, 0.0000, 0.0000]], "sg": "C2/m (12)", "raw_formation_energy_ev_per_atom": -1.310}

{"formula": "Nd4BiTeAs2", "functional": "PBE", "state": "relaxed", "lattice": [[-1.0325, -3.7482, 2.0279], [7.4887, -1.3488, 1.3196], [1.9361, 3.0743, 6.6682]], "species": ["Nd", "Nd", "Nd", "Nd", "Bi", "Te", "As", "As"], "frac_coords": [[0.0000, 0.7730, 0.7428], [0.0000, 0.2270, 0.2572], [0.5000, 0.7748, 0.2404], [0.5000, 0.2252, 0.7596], [0.5000, 0.5000, 0.0000], [0.0000, 0.5000, 0.5000], [0.0000, 0.0000, 0.0000], [0.5000, 0.0000, 0.5000]], "sg": "P2/m (10)", "raw_formation_energy_ev_per_atom": -1.388}

{"formula": "NdTmBiAs", "functional": "PBE", "state": "relaxed", "lattice": [[-1.1285, -1.5145, 3.8755], [0.2597, -4.2240, 0.8229], [6.4649, -1.0486, 3.8706]], "species": ["Nd", "Tm", "Bi", "As"], "frac_coords": [[0.9922, 0.9922, 0.0235], [0.5079, 0.5079, 0.4764], [0.7541, 0.7541, 0.7377], [0.2459, 0.2459, 0.2624]], "sg": "R3m (160)", "formation_energy_ev_per_atom": -1.16}

{"formula": "NdYBiAs", "functional": "PBE", "state": "relaxed", "lattice": [[-3.0202, 1.1025, -2.9138], [-0.9720, -2.7080, -3.2479], [-6.4188, -3.6299, 2.0491]], "species": ["Nd", "Y", "Bi", "As"], "frac_coords": [[0.9922, 0.9922, 0.0233], [0.5076, 0.5076, 0.4772], [0.7528, 0.7528, 0.7416], [0.2474, 0.2474, 0.2579]], "sg": "R3m (160)", "formation_energy_ev_per_atom": -1.20}

{"formula": "Ni2BiAs", "functional": "PBE", "state": "relaxed", "lattice": [[5.2931, 0.0000, -0.0023], [0.0000, 6.9863, 0.0000], [0.0003, 0.0000, 7.3953]], "species": ["Ni", "Ni", "Ni", "Ni", "Ni", "Ni", "Ni", "Ni", "Bi", "Bi", "Bi", "Bi", "As", "As", "As", "As"], "frac_coords": [[0.5000, 0.7500, 0.1875], [0.0000, 0.7500, 0.1875], [0.0000, 0.2496, 0.4281], [0.0000, 0.2500, 0.8125], [0.0000, 0.7504, 0.5719], [0.5000, 0.7496, 0.5719], [0.5000, 0.2500, 0.8125], [0.5000, 0.2504, 0.4281], [0.2501, 0.4108, 0.1241], [0.2499, 0.9108, 0.8759], [0.7501, 0.0892, 0.1241], [0.7499, 0.5892, 0.8759], [0.7496, 0.0494, 0.6213], [0.2496, 0.4506, 0.6213], [0.2504, 0.9506, 0.3787], [0.7504, 0.5494, 0.3787]], "sg": "Pbcm (57)", "formation_energy_ev_per_atom": -0.15}

{"formula": "Ni3BiAs", "functional": "PBE", "state": "relaxed", "lattice": [[-0.6482, -1.8982, 3.9525], [-3.5739, -2.0859, -1.5879], [2.5402, -3.4192, -1.2255]], "species": ["Ni", "Ni", "Ni", "As", "Bi"], "frac_coords": [[0.0000, 0.5000, 0.0000], [0.0000, 0.0000, 0.5000], [0.5000, 0.0000, 0.0000], [0.0000, 0.0000, 0.0000], [0.5000, 0.5000, 0.5000]], "sg": "Pm-3m (221)", "formation_energy_ev_per_atom": 0.20}

{"formula": "Ni2BiAs", "functional": "PBE", "state": "relaxed", "lattice": [[3.9455, 0.0024, -0.0002], [1.9703, 3.4183, -0.0001], [-0.0006, -0.0003, 5.5207]], "species": ["Ni", "Ni", "Bi", "As"], "frac_coords": [[0.5321, 0.5321, 0.2520], [0.8654, 0.8654, 0.4824], [0.5321, 0.5321, 0.7613], [0.1987, 0.1987, 0.2762]], "sg": "P3m1 (156)", "formation_energy_ev_per_atom": -0.10}

{"formula": "Ni2BiAs", "functional": "PBE", "state": "relaxed", "lattice": [[0.0000, 3.2146, 3.2146], [3.2146, 0.0000, 3.2146], [3.2146, 3.2146, 0.0000]], "species": ["Ni", "Ni", "As", "Bi"], "frac_coords": [[0.2500, 0.2500, 0.2500], [0.7500, 0.7500, 0.7500], [0.0000, 0.0000, 0.0000], [0.5000, 0.5000, 0.5000]], "sg": "Fm-3m (225)", "formation_energy_ev_per_atom": 0.19}

{"formula": "Ni2BiAs", "functional": "PBE", "state": "relaxed", "lattice": [[4.5447, 0.0000, 0.0000], [0.0000, 4.5447, 0.0000], [2.2724, 2.2724, 7.4269]], "species": ["Ni", "Ni", "Ni", "Ni", "As", "As", "Bi", "Bi"], "frac_coords": [[0.5225, 0.1250, 0.2500], [0.2275, 0.6250, 0.2500], [0.3750, 0.4775, 0.7500], [0.8750, 0.7725, 0.7500], [0.5000, 0.5000, 0.0000], [0.2500, 0.7500, 0.5000], [0.0000, 0.0000, 0.0000], [0.7500, 0.2500, 0.5000]], "sg": "I-42d (122)", "formation_energy_ev_per_atom": 0.02}

{"formula": "Ni2Bi2As", "functional": "PBE", "state": "relaxed", "lattice": [[-6.8532, -1.1704, -0.1871], [1.0878, -5.7746, -3.7204], [0.2725, -2.1387, 3.3993]], "species": ["Ni", "Ni", "Ni", "Ni", "As", "As", "Bi", "Bi", "Bi", "Bi"], "frac_coords": [[0.3686, 0.8686, 0.0000], [0.8686, 0.6314, 0.0000], [0.6314, 0.1314, 0.0000], [0.1314, 0.3686, 0.0000], [0.0000, 0.0000, 0.0000], [0.5000, 0.5000, 0.0000], [0.1687, 0.6687, 0.5000], [0.6687, 0.8313, 0.5000], [0.8313, 0.3313, 0.5000], [0.3313, 0.1687, 0.5000]], "sg": "P4/mbm (127)", "formation_energy_ev_per_atom": 0.15}

{"formula": "NiBiAs3", "functional": "PBE", "state": "relaxed", "lattice": [[-0.3557, -3.2197, -3.4521], [-0.4625, -3.4214, 3.2388], [-4.6978, 0.5806, -0.0575]], "species": ["Ni", "As", "As", "As", "Bi"], "frac_coords": [[0.0000, 0.0000, 0.0000], [0.0000, 0.5000, 0.0000], [0.0000, 0.0000, 0.5000], [0.5000, 0.0000, 0.0000], [0.5000, 0.5000, 0.5000]], "sg": "Pm-3m (221)", "de_polymorph_mev_per_atom": 0, "formation_energy_ev_per_atom": 0.32}

{"formula": "NiBi3As", "functional": "PBE", "state": "relaxed", "lattice": [[5.4953, 0.0000, 0.0000], [0.0000, 5.4953, 0.0000], [0.0000, 0.0000, 5.4953]], "species": ["Ni", "As", "Bi", "Bi", "Bi"], "frac_coords": [[0.5000, 0.5000, 0.5000], [0.0000, 0.0000, 0.0000], [0.0000, 0.5000, 0.0000], [0.0000, 0.0000, 0.5000], [0.5000, 0.0000, 0.0000]], "sg": "Pm-3m (221)", "de_polymorph_mev_per_atom": 650, "formation_energy_ev_per_atom": 1.06}

{"formula": "NiBi3As", "functional": "PBE", "state": "relaxed", "lattice": [[-0.8521, 4.3149, 2.6648], [-0.8282, -2.7842, 4.2435], [5.0033, 0.2740, 1.1562]], "species": ["Ni", "As", "Bi", "Bi", "Bi"], "frac_coords": [[0.0000, 0.0000, 0.0000], [0.5000, 0.5000, 0.5000], [0.0000, 0.5000, 0.0000], [0.0000, 0.0000, 0.5000], [0.5000, 0.0000, 0.0000]], "sg": "Pm-3m (221)", "de_polymorph_mev_per_atom": 0, "formation_energy_ev_per_atom": 0.41}

{"formula": "NiBi2As", "functional": "PBE", "state": "relaxed", "lattice": [[6.2216, 0.0000, 0.0000], [0.0000, 6.2216, 0.0000], [3.1108, 3.1108, 6.1564]], "species": ["Ni", "Ni", "As", "As", "Bi", "Bi", "Bi", "Bi"], "frac_coords": [[0.5000, 0.5000, 0.0000], [0.2500, 0.7500, 0.5000], [0.0000, 0.0000, 0.0000], [0.7500, 0.2500, 0.5000], [0.5826, 0.1250, 0.2500], [0.1674, 0.6250, 0.2500], [0.3750, 0.4174, 0.7500], [0.8750, 0.8326, 0.7500]], "sg": "I-42d (122)", "formation_energy_ev_per_atom": 0.20}

Number 1: M_tot 0.00 μB/cell. Number 2: M_tot 0.00 μB/cell. Number 3: M_tot 0.00 μB/cell. Number 4: M_tot 0.00 μB/cell. Number 5: M_tot 0.00 μB/cell. Number 6: M_tot 0.00 μB/cell. Number 7: M_tot 0.00 μB/cell. Number 8: M_tot 0.00 μB/cell. Number 9: M_tot 0.00 μB/cell. Number 10: M_tot 0.00 μB/cell. Number 11: M_tot 0.00 μB/cell. Number 12: M_tot 0.00 μB/cell. Number 13: M_tot 0.00 μB/cell. Number 14: M_tot 0.00 μB/cell. Number 15: M_tot 0.00 μB/cell. Number 16: M_tot 0.00 μB/cell. Number 17: M_tot 0.00 μB/cell. Number 18: M_tot 0.00 μB/cell. Number 19: M_tot 0.00 μB/cell.